This record from Alexandria describes an optimized crystal structure of TiAlZnSe2. The functional is PBE-GGA.

The space group is P4/mmm (No. 123) and the conventional cell measures 5.010, 5.010 and 4.605 Å, with angles of 90.00, 90.00 and 90.00 degrees. Symmetry generates all atoms from Ti at (0.000, 0.000, 0.000), Al at (0.500, 0.500, 0.000), Zn at (0.500, 0.500, 0.500) and Se at (0.000, 0.500, 0.500).

The calculation puts the energy above the most stable polymorph in this dataset at 0 meV/atom. The value obtained for the volume is 23.120 Å³ per atom. The formation energy from raw total energies comes out at 257 kJ/mol of formula units. The calculation puts the energy at -17.219 eV for the cell shown.

This record from Alexandria describes an optimized crystal structure of TiAlZnSe2. The functional is PBE-GGA.

The space group is P4/mmm (No. 123) and the conventional cell measures 4.930, 4.930 and 4.901 Å, with angles of 90.00, 90.00 and 90.00 degrees. Symmetry generates all atoms from Ti at (0.000, 0.000, 0.000), Al at (0.500, 0.500, 0.000), Zn at (0.000, 0.000, 0.500) and Se at (0.000, 0.500, 0.500).

The calculation puts the energy above the most stable polymorph in this dataset at 58 meV/atom. The value obtained for the volume is 23.825 Å³ per atom. The formation energy from raw total energies comes out at 285 kJ/mol of formula units. The calculation puts the energy at -16.929 eV for the cell shown.

This record from Alexandria describes an optimized crystal structure of AlTl2Se. The functional is PBE-GGA.

The space group is Pmmm (No. 47) and the conventional cell measures 3.927, 3.960 and 6.796 Å, with angles of 90.00, 90.00 and 90.00 degrees. Symmetry generates all atoms from Al at (0.000, 0.000, 0.000), Tl at (0.500, 0.500, 0.255) and Se at (0.000, 0.000, 0.500).

The value obtained for the volume is 26.417 Å³ per atom. The formation energy from raw total energies comes out at 16 kJ/mol of formula units. The calculation puts the energy at -11.794 eV for the cell shown.

This record from Alexandria describes an optimized crystal structure of AlTlSe3. The functional is PBE-GGA.

The space group is Pm-3m (No. 221) and the conventional cell measures 5.024, 5.024 and 5.024 Å, with angles of 90.00, 90.00 and 90.00 degrees. Symmetry generates all atoms from Al at (0.000, 0.000, 0.000), Tl at (0.500, 0.500, 0.500) and Se at (0.000, 0.000, 0.500).

The calculation puts the energy above the most stable polymorph in this dataset at 264 meV/atom. The value obtained for the volume is 25.359 Å³ per atom. The formation energy from raw total energies comes out at -111 kJ/mol of formula units. The calculation puts the energy at -17.708 eV for the cell shown.

This record from Alexandria describes an optimized crystal structure of AlTlSe2. The functional is PBE-GGA.

The space group is I4/mcm (No. 140) and the conventional cell measures 8.263, 8.263 and 6.435 Å, with angles of 90.00, 90.00 and 90.00 degrees. Symmetry generates all atoms from Al at (0.000, 0.500, 0.250), Tl at (0.000, 0.000, 0.250) and Se at (0.157, 0.343, 0.000).

The value obtained for the volume is 27.460 Å³ per atom. The formation energy from raw total energies comes out at -289 kJ/mol of formula units. The calculation puts the energy at -64.293 eV for the cell shown.

This record from Alexandria describes an optimized crystal structure of AlTl4Se. The functional is PBE-GGA.

The space group is F-43m (No. 216) and the conventional cell measures 9.024, 9.024 and 9.024 Å, with angles of 90.00, 90.00 and 90.00 degrees. Symmetry generates all atoms from Al at (0.000, 0.000, 0.000), Tl at (0.125, 0.125, 0.375) and Se at (0.250, 0.250, 0.750).

The value obtained for the volume is 30.620 Å³ per atom. The formation energy from raw total energies comes out at 160 kJ/mol of formula units. The calculation puts the energy at -60.122 eV for the cell shown.

This record from Alexandria describes an optimized crystal structure of Al5Tl3Se12. The functional is PBE-GGA.

The space group is Ia-3d (No. 230) and the conventional cell measures 15.997, 15.997 and 15.997 Å, with angles of 90.00, 90.00 and 90.00 degrees. Symmetry generates all atoms from Al at (0.000, 0.000, 0.000), Al at (0.000, 0.250, 0.375), Tl at (0.000, 0.250, 0.125) and Se at (0.030, 0.057, 0.648).

The value obtained for the volume is 25.585 Å³ per atom. The formation energy from raw total energies comes out at -818 kJ/mol of formula units. The calculation puts the energy at -608.828 eV for the cell shown.

This record from Alexandria describes an optimized crystal structure of AlTl2Se. The functional is PBE-GGA.

The space group is C2/m (No. 12) and the conventional cell measures 6.766, 6.760 and 4.711 Å, with angles of 90.00, 90.10 and 90.00 degrees. Symmetry generates all atoms from Al at (0.000, 0.000, 0.000), Tl at (0.250, 0.250, 0.500) and Se at (0.000, 0.500, 0.000).

The value obtained for the volume is 26.932 Å³ per atom. The formation energy from raw total energies comes out at 11 kJ/mol of formula units. The calculation puts the energy at -23.698 eV for the cell shown.

This record from Alexandria describes an optimized crystal structure of AlTlSe2. The functional is PBE-GGA.

The space group is Cm (No. 8) and the conventional cell measures 14.954, 3.568 and 4.605 Å, with angles of 90.00, 97.66 and 90.00 degrees. Symmetry generates all atoms from Al at (0.000, 0.000, 0.000), Tl at (0.233, 0.000, 0.505), Se at (0.112, 0.500, 0.941) and Se at (0.394, 0.000, 0.070).

The value obtained for the volume is 30.439 Å³ per atom. The formation energy from raw total energies comes out at -189 kJ/mol of formula units. The calculation puts the energy at -30.082 eV for the cell shown.

This record from Alexandria describes an optimized crystal structure of AlTl2Se3. The functional is PBE-GGA.

The space group is C2/c (No. 15) and the conventional cell measures 12.513, 7.653 and 7.200 Å, with angles of 90.00, 100.66 and 90.00 degrees. Symmetry generates all atoms from Al at (0.000, 0.076, 0.250), Tl at (0.163, 0.347, 0.649), Se at (0.000, 0.389, 0.250) and Se at (0.132, 0.066, 0.989).

The value obtained for the volume is 28.235 Å³ per atom. The formation energy from raw total energies comes out at -282 kJ/mol of formula units. The calculation puts the energy at -87.407 eV for the cell shown.

This record from Alexandria describes an optimized crystal structure of AlTl2Se. The functional is PBE-GGA.

The space group is R-3m (No. 166, hexagonal axes) and the conventional cell measures 4.1081, 4.1081 and 22.5126 Å, with angles of 90.00, 90.00 and 120.00 degrees. Symmetry generates all atoms from Al at (0.0000, 0.0000, 0.0000), Tl at (0.0000, 0.0000, 0.2488) and Se at (0.0000, 0.0000, 0.5000).

The value obtained for the volume is 27.419 Å³ per atom. The formation energy from raw total energies comes out at 22 kJ/mol of formula units. The calculation puts the energy at -35.200 eV for the cell shown.

This record from Alexandria describes an optimized crystal structure of AlTlSe2. The functional is PBE-GGA.

The space group is P4/mmm (No. 123) and the conventional cell measures 3.429, 3.429 and 7.804 Å, with angles of 90.00, 90.00 and 90.00 degrees. Symmetry generates all atoms from Al at (0.000, 0.000, 0.000), Tl at (0.000, 0.000, 0.500) and Se at (0.500, 0.500, 0.195).

The value obtained for the volume is 22.935 Å³ per atom. The formation energy from raw total energies comes out at -66 kJ/mol of formula units. The calculation puts the energy at -13.760 eV for the cell shown.

Which theoretical density belongs to each record? In order, 4.28 4.16 8.09 6.13 5.89 8.35 5.50 7.93 5.31 6.59 7.79 7.05 g cm⁻³.